[1]
A relaxed structure of LaMgS3, computed with GGA-PBE.

Space group: C2/m (12)
ρ: 3.69 g/cm3
Size of the total moment: 0.0 μB per cell
E above lowest polymorph: 0.000 eV per atom
Uncorrected formation energy: -682 kJ/mol of formula units

```
LaMgS3
1.0
4.185 -5.686 0.000
4.185 5.686 0.000
-1.123 0.000 4.905
La Mg S
2 2 6
Cartesian
0.990 0.000 1.529 La
6.256 0.000 3.376 La
4.185 2.258 0.000 Mg
4.185 -2.258 0.000 Mg
2.758 4.015 0.978 S
4.488 4.015 3.927 S
3.268 0.000 3.438 S
3.978 0.000 1.467 S
2.758 -4.015 0.978 S
4.488 -4.015 3.927 S
```

***

[2]
A relaxed structure of BTeS2N, computed with GGA-PBE.

Space group: P4/mmm (123)
ρ: 3.53 g/cm3
Size of the total moment: 0.0 μB per cell
E above lowest polymorph: 1.364 eV per atom
Uncorrected formation energy: 897 kJ/mol of formula units

```
BTeS2N
1.0
5.080 0.000 0.000
0.000 5.080 0.000
0.000 0.000 3.951
B Te S N
1 1 2 1
Cartesian
0.000 0.000 0.000 B
2.540 2.540 1.975 Te
0.000 2.540 1.975 S
2.540 0.000 1.975 S
2.540 2.540 0.000 N
```

***

[3]
A relaxed structure of TbEr8Tl2, computed with GGA-PBE.

Space group: C2/m (12)
ρ: 9.38 g/cm3
Size of the total moment: 0.0 μB per cell
Uncorrected energy: -4.163 eV/atom

```
TbEr8Tl2
1.0
4.406 -7.541 0.000
4.406 7.541 0.000
-2.203 0.000 5.079
Tb Er Tl
1 8 2
Cartesian
0.000 0.000 0.000 Tb
0.477 1.711 3.142 Er
4.406 4.271 0.000 Er
0.477 -1.711 3.142 Er
3.096 0.000 1.029 Er
3.514 0.000 4.050 Er
6.133 1.711 1.937 Er
4.406 -4.271 0.000 Er
6.133 -1.711 1.937 Er
3.305 2.923 2.539 Tl
3.305 -2.923 2.539 Tl
```